(P)
Crystalline FeRuAu2 at its relaxed geometry. Source: Alexandria via LeMat-Bulk, functional PBE.

a = 4.4206 Å, b = 4.4206 Å, c = 4.4206 Å
α = 60.00°, β = 60.00°, γ = 60.00°
Positions (direct):
1 Fe 0.0000 0.0000 0.0000
2 Ru 0.5000 0.5000 0.5000
3 Au 0.2500 0.2500 0.2500
4 Au 0.7500 0.7500 0.7500

---

(Q)
Crystalline FeRuAu2 at its relaxed geometry. Source: Alexandria via LeMat-Bulk, functional PBE.

a = 9.2747 Å, b = 9.2747 Å, c = 9.2747 Å
α = 17.46°, β = 17.46°, γ = 17.46°
Positions (direct):
1 Fe 0.0000 0.0000 0.0000
2 Ru 0.5000 0.5000 0.5000
3 Au 0.2525 0.2525 0.2525
4 Au 0.7475 0.7475 0.7475

---

Least stable of them? (P).